1.
Computed, not measured: a geometry-optimized Zr2MnPt structure at the PBE level of DFT.

Spin magnetization in μB/cell: 0.00
Calculated formation energy in eV/atom: -0.49
Space-group type: P4/mmm (123)

a b c (Å): 4.5656 4.5656 3.3850
angles (deg): 90.00 90.00 90.00
Closest atoms and distances in Å follow each position.
Positions (direct):
Zr  0.0000  0.5000  0.0000  4 Mn 2.84, 4 Pt 2.84
Zr  0.5000  0.0000  0.0000  4 Mn 2.84, 4 Pt 2.84
Mn  0.0000  0.0000  0.5000  8 Zr 2.84
Pt  0.5000  0.5000  0.5000  8 Zr 2.84

2.
Computed, not measured: a geometry-optimized PPtS2 structure at the PBE level of DFT.

Spin magnetization in μB/cell: 0.00
Space-group type: R-3m (166)
ΔE_f (raw) in meV per atom: 199

a b c (Å): 7.4721 7.4721 7.4721
angles (deg): 26.25 26.25 26.25
Closest atoms and distances in Å follow each position.
Positions (direct):
P  0.0000  0.0000  0.0000  6 S 2.39
Pt  0.5000  0.5000  0.5000  2 S 2.24
S  0.3964  0.3964  0.3964  1 Pt 2.24, 3 P 2.39
S  0.6036  0.6036  0.6036  1 Pt 2.24, 3 P 2.39

3.
Computed, not measured: a geometry-optimized Sm4Cd5Hg structure at the PBE level of DFT.

Spin magnetization in μB/cell: 0.00
Calculated formation energy in eV/atom: -0.33
Space-group type: C2/m (12)

a b c (Å): 8.4323 8.4323 6.6671
angles (deg): 105.93 105.93 35.74
Closest atoms and distances in Å follow each position.
Positions (direct):
Sm  0.0962  0.0962  0.3857  5 Cd 3.14-3.26, 2 Hg 3.22
Sm  0.3114  0.3114  0.1841  7 Cd 3.13-3.43, 1 Hg 3.15
Sm  0.6886  0.6886  0.8159  7 Cd 3.13-3.43, 1 Hg 3.15
Sm  0.9038  0.9038  0.6143  5 Cd 3.14-3.26, 2 Hg 3.22
Cd  0.0977  0.0977  0.9157  5 Sm 3.13-3.38, 2 Cd 3.16
Cd  0.2965  0.2965  0.6871  7 Sm 3.22-3.43, 3 Cd 3.33-3.61
Cd  0.5000  0.5000  0.0000  6 Cd 3.16-3.33, 2 Hg 3.33
Cd  0.7035  0.7035  0.3129  7 Sm 3.22-3.43, 3 Cd 3.33-3.61
Cd  0.9023  0.9023  0.0843  5 Sm 3.13-3.38, 2 Cd 3.16
Hg  0.5000  0.5000  0.5000  6 Sm 3.15-3.22, 2 Cd 3.33

4.
Computed, not measured: a geometry-optimized Li6Tl5 structure at the PBE level of DFT.

Spin magnetization in μB/cell: 0.00
Calculated formation energy in eV/atom: -0.18
Space-group type: C2/m (12)

a b c (Å): 8.2601 8.2601 4.8126
angles (deg): 106.84 106.84 50.37
Closest atoms and distances in Å follow each position.
Positions (direct):
Li  0.0786  0.6163  0.3473  7 Tl 2.87-3.12
Li  0.2333  0.7667  0.0000  6 Tl 2.94-3.05, 5 Li 3.23-3.28
Li  0.3837  0.9214  0.6527  7 Tl 2.87-3.12
Li  0.6163  0.0786  0.3473  7 Tl 2.87-3.12
Li  0.7667  0.2333  0.0000  6 Tl 2.94-3.05, 5 Li 3.23-3.28
Li  0.9214  0.3837  0.6527  7 Tl 2.87-3.12
Tl  0.1720  0.1720  0.1742  8 Li 2.91-3.12
Tl  0.3315  0.3315  0.8327  8 Li 3.01-3.07, 2 Tl 3.30
Tl  0.5000  0.5000  0.5000  8 Li 2.87-3.05
Tl  0.6685  0.6685  0.1673  8 Li 3.01-3.07, 2 Tl 3.30
Tl  0.8280  0.8280  0.8258  8 Li 2.91-3.12

5.
Computed, not measured: a geometry-optimized TlGa2Br8 structure at the PBE level of DFT.

Spin magnetization in μB/cell: 0.00
Space-group type: C2/m (12)
ΔE_f (raw) in meV per atom: -737

a b c (Å): 8.3316 8.3316 6.7602
angles (deg): 96.66 96.66 74.59
Closest atoms and distances in Å follow each position.
Positions (direct):
Tl  0.0000  0.0000  0.0000  6 Br 3.07-3.08
Ga  0.2061  0.2061  0.6552  4 Br 2.31-2.39
Ga  0.7939  0.7939  0.3448  4 Br 2.31-2.39
Br  0.0729  0.6971  0.2462  1 Ga 2.39
Br  0.1989  0.1989  0.2994  1 Ga 2.39
Br  0.3029  0.9271  0.7538  1 Ga 2.39
Br  0.3766  0.3766  0.7910  1 Ga 2.31
Br  0.6234  0.6234  0.2090  1 Ga 2.31
Br  0.6971  0.0729  0.2462  1 Ga 2.39
Br  0.8011  0.8011  0.7006  1 Ga 2.39
Br  0.9271  0.3029  0.7538  1 Ga 2.39

6.
Computed, not measured: a geometry-optimized Pm3Si4Tc4 structure at the PBE level of DFT.

Spin magnetization in μB/cell: 0.00
Space-group type: I-43m (217)
ΔE_f (raw) in meV per atom: -518

a b c (Å): 6.5553 6.5553 6.5553
angles (deg): 109.47 109.47 109.47
Closest atoms and distances in Å follow each position.
Positions (direct):
Pm  0.0000  0.5000  0.5000  4 Si 3.09, 4 Tc 3.11
Pm  0.5000  0.0000  0.5000  4 Si 3.09, 4 Tc 3.11
Pm  0.5000  0.5000  0.0000  4 Si 3.09, 4 Tc 3.11
Si  0.0000  0.0000  0.6424  4 Tc 2.41-2.44
Si  0.0000  0.6424  0.0000  4 Tc 2.41-2.44
Si  0.3576  0.3576  0.3576  4 Tc 2.41-2.44
Si  0.6424  0.0000  0.0000  4 Tc 2.41-2.44
Tc  0.0000  0.0000  0.2755  4 Si 2.41-2.44
Tc  0.0000  0.2755  0.0000  4 Si 2.41-2.44
Tc  0.2755  0.0000  0.0000  4 Si 2.41-2.44
Tc  0.7245  0.7245  0.7245  4 Si 2.41-2.44

Theoretical density values, unit g/cm³, following the record order: 10.18 6.70 8.54 7.37 3.65 7.19.
Density of states at the Fermi level values, unit states/eV/cell, following the record order: 2.8 3.0 7.6 4.9 6.6 7.9.